No. 1
Below is Li2CePr after structural relaxation, with properties calculated at the GGA-PBE level.

Cell and atoms, written as POSCAR:
```
Li2CePr
1.0
3.241 0.000 0.000
1.621 2.807 0.000
1.621 0.936 12.206
Ce Li Pr
1 2 1
direct
0.000 0.000 0.000
0.087 0.087 0.740
0.913 0.913 0.260
0.500 0.500 0.500
```

**Energy of formation**: 287 meV/atom
**Symmetry**: No. 166

=====

No. 2
Below is Tb2Al3CdAu4 after structural relaxation, with properties calculated at the GGA-PBE level.

Cell and atoms, written as POSCAR:
```
Tb2Al3CdAu4
1.0
4.360 0.000 0.000
0.000 4.360 0.000
0.000 0.000 10.902
Al Cd Tb Au
3 1 2 4
direct
0.000 0.000 0.500
0.000 0.500 0.125
0.500 0.000 0.875
0.500 0.500 0.500
0.500 0.000 0.243
0.000 0.500 0.757
0.500 0.500 0.000
0.000 0.000 0.000
0.000 0.500 0.350
0.500 0.000 0.650
```

**Energy of formation**: -613 meV/atom
**Symmetry**: No. 115

=====

No. 3
Below is Tb3ScPd3 after structural relaxation, with properties calculated at the GGA-PBE level.

Cell and atoms, written as POSCAR:
```
Tb3ScPd3
1.0
6.768 1.137 0.279
-1.997 6.566 0.279
-0.419 -0.676 7.011
Sc Pd Tb
2 6 6
direct
0.744 0.744 0.879
0.256 0.256 0.121
0.508 0.967 0.716
0.967 0.508 0.716
0.063 0.063 0.814
0.937 0.937 0.186
0.033 0.492 0.284
0.492 0.033 0.284
0.257 0.743 0.000
0.743 0.257 0.000
0.174 0.826 0.500
0.652 0.652 0.369
0.348 0.348 0.631
0.826 0.174 0.500
```

**Energy of formation**: -682 meV/atom
**Symmetry**: No. 12

=====

No. 4
Below is SrReB2N after structural relaxation, with properties calculated at the GGA-PBE level.

Cell and atoms, written as POSCAR:
```
SrReB2N
1.0
-3.858 0.900 2.186
0.587 -3.253 2.375
2.272 2.567 2.954
B Re Sr N
2 1 1 1
direct
0.500 0.000 0.000
0.000 0.000 0.500
0.500 0.500 0.500
0.000 0.000 0.000
0.000 0.500 0.000
```

**Formation energy without anion corrections**: 16.67 eV/f.u.
**Symmetry**: No. 123

=====

No. 5
Below is InTcAs2 after structural relaxation, with properties calculated at the GGA-PBE level.

Cell and atoms, written as POSCAR:
```
InTcAs2
1.0
-1.159 1.308 4.440
-2.803 -2.844 0.106
2.675 -2.582 1.459
In Tc As
1 1 2
direct
0.500 0.500 0.000
0.500 0.000 0.500
0.000 0.500 0.500
0.000 0.000 0.000
```

**Energy of formation**: 532 meV/atom
**Symmetry**: No. 123

=====

No. 6
Below is MnAu2Br after structural relaxation, with properties calculated at the GGA-PBE level.

Cell and atoms, written as POSCAR:
```
MnAu2Br
1.0
7.983 -0.031 -0.018
7.216 3.414 -0.018
7.216 1.606 3.013
Mn Br Au
1 1 2
direct
0.750 0.750 0.750
0.250 0.250 0.250
0.010 0.010 0.010
0.490 0.490 0.490
```

**Formation energy without anion corrections**: 0.33 eV/f.u.
**Symmetry**: No. 166

=====

No. 7
Below is YTePb2 after structural relaxation, with properties calculated at the GGA-PBE level.

Cell and atoms, written as POSCAR:
```
YTePb2
1.0
-0.483 1.829 -3.238
-2.829 -2.451 0.233
-5.042 6.226 4.270
Y Pb Te
1 2 1
direct
0.500 0.500 0.750
0.000 0.000 0.497
0.000 0.000 0.003
0.500 0.500 0.250
```

**Formation energy without anion corrections**: -0.21 eV/f.u.
**Symmetry**: No. 65

=====

No. 8
Below is NaCa2Au after structural relaxation, with properties calculated at the GGA-PBE level.

Cell and atoms, written as POSCAR:
```
NaCa2Au
1.0
8.833 0.000 0.000
0.000 8.833 0.000
4.417 4.417 3.533
Ca Na Au
4 2 2
direct
0.690 0.125 0.250
0.060 0.625 0.250
0.875 0.940 0.750
0.375 0.310 0.750
0.500 0.500 0.000
0.250 0.750 0.500
0.750 0.250 0.500
0.000 0.000 0.000
```

**Energy of formation**: -210 meV/atom
**Symmetry**: No. 122

=====

No. 9
Below is Mn2FeP2 after structural relaxation, with properties calculated at the GGA-PBE level.

Cell and atoms, written as POSCAR:
```
Mn2FeP2
1.0
-3.201 -0.235 3.038
1.461 -2.834 1.320
4.442 4.444 4.624
Mn Fe P
4 2 4
direct
0.257 0.500 0.709
0.743 0.500 0.291
0.257 0.000 0.209
0.743 0.000 0.791
0.000 0.500 0.000
0.000 0.000 0.500
0.722 0.000 0.094
0.722 0.500 0.594
0.278 0.500 0.406
0.278 0.000 0.906
```

**Energy of formation**: -408 meV/atom
**Symmetry**: No. 12

=====

No. 10
Below is SrThHg3 after structural relaxation, with properties calculated at the GGA-PBE level.

Cell and atoms, written as POSCAR:
```
SrThHg3
1.0
3.732 0.000 -0.514
0.000 4.955 0.000
0.225 0.000 15.441
Th Hg Sr
2 6 2
direct
0.214 0.750 0.429
0.786 0.250 0.571
0.474 0.250 0.949
0.678 0.250 0.356
0.377 0.250 0.755
0.526 0.750 0.051
0.623 0.750 0.245
0.322 0.750 0.644
0.076 0.250 0.153
0.924 0.750 0.847
```

**Energy of formation**: -356 meV/atom
**Symmetry**: No. 63

=====

No. 11
Below is Pr3Nd after structural relaxation, with properties calculated at the GGA-PBE level.

Cell and atoms, written as POSCAR:
```
Pr3Nd
1.0
-0.922 5.048 1.057
-5.081 -1.073 0.694
0.886 -0.903 5.084
Pr Nd
3 1
direct
0.500 0.500 0.000
0.500 0.000 0.500
0.000 0.500 0.500
0.000 0.000 0.000
```

**Energy of formation**: 11 meV/atom
**Symmetry**: No. 221

=====

No. 12
Below is Pr2UCo2N6 after structural relaxation, with properties calculated at the GGA-PBE level.

Cell and atoms, written as POSCAR:
```
Pr2UCo2N6
1.0
-4.625 -2.400 2.043
0.374 -3.645 4.231
-1.984 2.247 5.813
N U Co Pr
6 1 2 2
direct
0.750 0.750 0.271
0.250 0.772 0.729
0.250 0.250 0.729
0.228 0.750 0.271
0.750 0.228 0.271
0.772 0.250 0.729
0.000 0.000 0.000
0.400 0.400 0.801
0.600 0.600 0.199
0.213 0.213 0.362
0.787 0.787 0.638
```

**Formation energy without anion corrections**: -6.35 eV/f.u.
**Symmetry**: No. 166

=====

| no. | VASP energy (eV/cell) |
| --- | --- |
| 1 | -13.395 |
| 2 | -40.643 |
| 3 | -81.155 |
| 4 | -19.137 |
| 5 | -20.274 |
| 6 | -17.069 |
| 7 | -17.234 |
| 8 | -18.877 |
| 9 | -79.322 |
| 10 | -23.572 |
| 11 | -19.063 |
| 12 | -91.360 |